PBE NdYMg2Hg4, optimized geometry; E = -0.0890 Ha/atom; V = 23.9 Å³ per atom; mass density = 9.432 g cm⁻³; E_form = -0.47 eV per atom
1.0
2.561 1.478 8.403
-2.561 1.478 8.403
0.000 -2.957 8.403
Nd Y Mg Hg
1 1 2 4
Cartesian
0.000 0.000 0.000 Nd
0.000 0.000 12.604 Y
0.000 0.000 6.292 Mg
0.000 0.000 18.917 Mg
0.000 0.000 3.202 Hg
0.000 0.000 9.519 Hg
0.000 0.000 15.690 Hg
0.000 0.000 22.007 Hg

***

PBE NdYMgHg, optimized geometry; E = -0.1308 Ha/atom; V = 27.6 Å³ per atom; mass density = 6.890 g cm⁻³; E_form = -0.28 eV per atom; excess energy over the best structure of this formula in the dataset = 17 meV/atom
1.0
0.000 3.807 3.807
3.807 0.000 3.807
3.807 3.807 0.000
Nd Y Mg Hg
1 1 1 1
Cartesian
0.000 0.000 0.000 Nd
3.807 3.807 3.807 Y
1.904 1.904 1.904 Mg
5.711 5.711 5.711 Hg

***

PBE NdMgZnHg, optimized geometry; E = -0.0872 Ha/atom; V = 23.0 Å³ per atom; mass density = 7.830 g cm⁻³; E_form = -0.39 eV per atom
1.0
0.000 3.585 3.585
3.585 0.000 3.585
3.585 3.585 0.000
Nd Mg Zn Hg
1 1 1 1
Cartesian
0.000 0.000 0.000 Nd
3.585 3.585 3.585 Mg
5.378 5.378 5.378 Zn
1.793 1.793 1.793 Hg

***

PBE MgNi4Hg, optimized geometry; E = -0.1551 Ha/atom; V = 13.6 Å³ per atom; mass density = 9.366 g cm⁻³; E_form = -0.05 eV per atom
1.0
0.000 3.441 3.441
3.441 0.000 3.441
3.441 3.441 0.000
Mg Ni Hg
1 4 1
Cartesian
0.000 0.000 0.000 Mg
4.303 2.579 2.579 Ni
2.579 4.303 2.579 Ni
2.579 2.579 4.303 Ni
4.303 4.303 4.303 Ni
1.721 1.721 1.721 Hg

***

PBE Mg2NiHg2, optimized geometry; E = -0.0693 Ha/atom; V = 20.3 Å³ per atom; mass density = 8.327 g cm⁻³; E_form = 0.03 eV per atom; excess energy over the best structure of this formula in the dataset = 0 meV/atom
1.0
6.952 0.000 0.000
0.000 6.952 0.000
0.000 0.000 4.196
Mg Ni Hg
4 2 4
Cartesian
1.146 2.330 0.000 Mg
2.330 5.806 0.000 Mg
4.622 1.146 0.000 Mg
5.806 4.622 0.000 Mg
0.000 0.000 2.098 Ni
3.476 3.476 2.098 Ni
1.048 4.524 2.098 Hg
2.428 1.048 2.098 Hg
4.524 5.904 2.098 Hg
5.904 2.428 2.098 Hg

***

PBE Mg3NiHg, optimized geometry; E = -0.0853 Ha/atom; V = 20.0 Å³ per atom; mass density = 5.514 g cm⁻³; E_form = -0.15 eV per atom; excess energy over the best structure of this formula in the dataset = 0 meV/atom
1.0
7.405 0.000 0.000
0.000 3.692 0.000
-2.467 0.000 7.319
Mg Ni Hg
6 2 2
Cartesian
-0.175 0.923 1.645 Mg
0.026 0.923 6.680 Mg
0.948 2.769 4.221 Mg
3.989 0.923 3.098 Mg
4.911 2.769 0.639 Mg
5.112 2.769 5.674 Mg
-0.991 0.923 4.307 Ni
5.928 2.769 3.012 Ni
2.136 2.769 1.554 Hg
2.802 0.923 5.765 Hg

***

PBE Mg3Ni2Hg, optimized geometry; E = -0.1081 Ha/atom; V = 16.5 Å³ per atom; mass density = 6.553 g cm⁻³; E_form = -0.17 eV per atom
1.0
3.130 0.000 0.000
0.000 3.130 0.000
0.000 0.000 10.111
Mg Ni Hg
3 2 1
Cartesian
0.000 0.000 0.000 Mg
0.000 0.000 2.969 Mg
0.000 0.000 7.142 Mg
1.565 1.565 1.480 Ni
1.565 1.565 8.631 Ni
1.565 1.565 5.056 Hg

***

PBE Mg6NiHg3, optimized geometry; E = -0.0643 Ha/atom; V = 21.1 Å³ per atom; mass density = 6.340 g cm⁻³; E_form = -0.12 eV per atom
1.0
8.466 0.000 0.000
0.000 10.920 0.000
0.000 0.000 4.568
Mg Ni Hg
12 2 6
Cartesian
0.054 2.574 0.000 Mg
1.273 0.719 2.284 Mg
1.681 4.364 2.284 Mg
2.552 9.824 0.000 Mg
2.960 6.180 0.000 Mg
4.179 8.034 2.284 Mg
4.287 2.886 2.284 Mg
5.506 4.741 0.000 Mg
5.914 1.096 0.000 Mg
6.785 6.556 2.284 Mg
7.193 10.201 2.284 Mg
8.412 8.346 0.000 Mg
0.000 0.000 0.000 Ni
4.233 5.460 2.284 Ni
0.000 5.460 0.000 Hg
1.422 7.545 2.284 Hg
2.811 2.085 0.000 Hg
4.233 0.000 2.284 Hg
5.655 8.835 0.000 Hg
7.044 3.375 2.284 Hg

***

PBE Mg4NiHg, optimized geometry; E = -0.0778 Ha/atom; V = 22.1 Å³ per atom; mass density = 4.464 g cm⁻³; E_form = -0.04 eV per atom; excess energy over the best structure of this formula in the dataset = 146 meV/atom
1.0
3.886 -2.261 0.000
3.886 2.261 0.000
-2.642 0.000 7.548
Mg Ni Hg
4 1 1
Cartesian
-0.034 0.000 2.567 Mg
2.589 0.000 0.739 Mg
2.540 0.000 6.809 Mg
5.163 0.000 4.981 Mg
0.000 0.000 0.000 Ni
2.565 0.000 3.774 Hg

***

PBE MgNiHg2, optimized geometry; E = -0.0722 Ha/atom; V = 19.8 Å³ per atom; mass density = 10.126 g cm⁻³; E_form = 0.03 eV per atom
1.0
3.322 0.000 0.000
0.000 3.738 0.000
-1.584 0.000 6.395
Mg Ni Hg
1 1 2
Cartesian
0.000 0.000 0.000 Mg
1.660 1.869 0.836 Ni
0.074 1.869 4.588 Hg
1.678 0.000 2.677 Hg

***

PBE MgNi2Hg, optimized geometry; E = -0.1237 Ha/atom; V = 14.8 Å³ per atom; mass density = 9.603 g cm⁻³; E_form = 0.00 eV per atom
1.0
-1.925 1.925 3.992
1.925 -1.925 3.992
1.925 1.925 -3.992
Mg Ni Hg
1 2 1
Cartesian
0.000 0.000 0.000 Mg
1.925 0.000 1.996 Ni
0.000 0.000 3.992 Ni
0.000 1.925 1.996 Hg

***

PBE MgNi2Hg, optimized geometry; E = -0.1251 Ha/atom; V = 14.8 Å³ per atom; mass density = 9.613 g cm⁻³; E_form = -0.04 eV per atom
1.0
-2.018 2.018 3.629
2.018 -2.018 3.629
2.018 2.018 -3.629
Mg Ni Hg
1 2 1
Cartesian
0.000 0.000 0.000 Mg
2.018 0.000 1.815 Ni
0.000 2.018 1.815 Ni
0.000 0.000 3.629 Hg

***

PBE MgNi2Hg, optimized geometry; E = -0.1163 Ha/atom; V = 15.6 Å³ per atom; mass density = 9.105 g cm⁻³; E_form = 0.20 eV per atom
1.0
1.465 0.846 8.401
-1.465 0.846 8.401
0.000 -1.691 8.401
Mg Ni Hg
1 2 1
Cartesian
0.000 0.000 0.000 Mg
0.000 0.000 6.375 Ni
0.000 0.000 18.827 Ni
0.000 0.000 12.601 Hg

***

PBE Mg3NiHg, optimized geometry; E = -0.0787 Ha/atom; V = 22.8 Å³ per atom; mass density = 4.840 g cm⁻³; E_form = 0.03 eV per atom; excess energy over the best structure of this formula in the dataset = 179 meV/atom
1.0
4.848 0.000 0.000
0.000 4.848 0.000
0.000 0.000 4.848
Mg Ni Hg
3 1 1
Cartesian
0.000 0.000 2.424 Mg
0.000 2.424 0.000 Mg
2.424 0.000 0.000 Mg
0.000 0.000 0.000 Ni
2.424 2.424 2.424 Hg

***

PBE MgNi2Hg, optimized geometry; E = -0.1257 Ha/atom; V = 14.7 Å³ per atom; mass density = 9.674 g cm⁻³; E_form = -0.06 eV per atom
1.0
4.013 0.000 0.000
0.000 4.013 0.000
0.000 0.000 3.648
Mg Ni Hg
1 2 1
Cartesian
0.000 0.000 0.000 Mg
0.000 2.007 1.824 Ni
2.007 0.000 1.824 Ni
2.007 2.007 0.000 Hg

***

PBE Mg2Ni2Hg, optimized geometry; E = -0.1092 Ha/atom; V = 16.1 Å³ per atom; mass density = 7.548 g cm⁻³; E_form = 0.04 eV per atom; excess energy over the best structure of this formula in the dataset = 161 meV/atom
1.0
7.473 0.000 0.000
0.000 7.473 0.000
0.000 0.000 2.888
Mg Ni Hg
4 4 2
Cartesian
1.039 2.697 0.000 Mg
2.697 6.434 0.000 Mg
4.775 1.039 0.000 Mg
6.434 4.775 0.000 Mg
1.153 4.890 1.444 Ni
2.583 1.153 1.444 Ni
4.890 6.319 1.444 Ni
6.319 2.583 1.444 Ni
0.000 0.000 0.000 Hg
3.736 3.736 0.000 Hg

***

PBE MgNi2Hg, optimized geometry; E = -0.1220 Ha/atom; V = 15.3 Å³ per atom; mass density = 9.272 g cm⁻³; E_form = 0.05 eV per atom
1.0
4.181 0.000 0.000
0.000 1.451 5.053
0.000 -1.451 5.053
Mg Ni Hg
1 2 1
Cartesian
0.000 0.000 0.000 Mg
0.000 0.000 7.293 Ni
2.090 0.000 5.992 Ni
2.090 0.000 3.295 Hg

***

PBE Mg8Ni4Hg, optimized geometry; E = -0.1057 Ha/atom; V = 17.4 Å³ per atom; mass density = 4.631 g cm⁻³; E_form = -0.09 eV per atom
1.0
-4.573 4.573 2.700
4.573 -4.573 2.700
4.573 4.573 -2.700
Mg Ni Hg
8 4 1
Cartesian
2.024 0.000 0.000 Mg
7.122 0.000 0.000 Mg
4.573 1.626 0.000 Mg
0.000 2.024 0.000 Mg
1.626 4.573 0.000 Mg
2.947 0.000 2.700 Mg
0.000 7.122 0.000 Mg
0.000 2.947 2.700 Mg
2.287 2.287 -1.350 Ni
2.287 -2.287 1.350 Ni
-2.287 2.287 1.350 Ni
2.287 2.287 1.350 Ni
0.000 0.000 2.700 Hg

***

PBE MgNiHg2, optimized geometry; E = -0.0659 Ha/atom; V = 21.0 Å³ per atom; mass density = 9.590 g cm⁻³; E_form = 0.20 eV per atom
1.0
-2.114 2.114 9.380
2.114 -2.114 9.380
2.114 2.114 -9.380
Mg Ni Hg
2 2 4
Cartesian
0.000 0.000 0.000 Mg
0.000 2.114 4.690 Mg
2.114 0.000 4.690 Ni
0.000 0.000 9.380 Ni
1.057 -0.980 7.035 Hg
1.134 1.057 2.345 Hg
1.057 3.094 -2.345 Hg
0.980 1.057 11.725 Hg

***

PBE Mg2NiHg2, optimized geometry; E = -0.0657 Ha/atom; V = 20.4 Å³ per atom; mass density = 8.293 g cm⁻³; E_form = 0.13 eV per atom; excess energy over the best structure of this formula in the dataset = 98 meV/atom
1.0
6.798 0.000 0.000
0.000 6.798 0.000
0.000 0.000 4.406
Mg Ni Hg
4 2 4
Cartesian
1.068 2.331 0.000 Mg
2.331 5.730 0.000 Mg
4.467 1.068 0.000 Mg
5.730 4.467 0.000 Mg
0.000 0.000 0.000 Ni
3.399 3.399 0.000 Ni
1.091 4.490 2.203 Hg
2.308 1.091 2.203 Hg
4.490 5.707 2.203 Hg
5.707 2.308 2.203 Hg

***

PBE MgNi2Hg, optimized geometry; E = -0.1232 Ha/atom; V = 14.9 Å³ per atom; mass density = 9.507 g cm⁻³; E_form = 0.01 eV per atom
1.0
3.208 0.000 0.000
0.000 3.208 0.000
0.000 0.000 5.811
Mg Ni Hg
1 2 1
Cartesian
0.000 0.000 0.000 Mg
1.604 1.604 1.386 Ni
1.604 1.604 4.425 Ni
0.000 0.000 2.905 Hg

***

PBE Mg5NiHg4, optimized geometry; E = -0.0623 Ha/atom; V = 19.8 Å³ per atom; mass density = 8.228 g cm⁻³; E_form = -0.20 eV per atom
1.0
3.300 0.000 0.000
0.000 3.300 0.000
0.000 0.000 18.209
Mg Ni Hg
5 1 4
Cartesian
0.000 0.000 0.000 Mg
0.000 0.000 3.914 Mg
0.000 0.000 7.696 Mg
0.000 0.000 10.513 Mg
0.000 0.000 14.295 Mg
1.650 1.650 9.105 Ni
1.650 1.650 1.954 Hg
1.650 1.650 5.844 Hg
1.650 1.650 12.365 Hg
1.650 1.650 16.255 Hg

***

PBE MgNi2Hg, optimized geometry; E = -0.1230 Ha/atom; V = 15.1 Å³ per atom; mass density = 9.416 g cm⁻³; E_form = 0.02 eV per atom
1.0
4.779 -1.500 0.000
4.779 1.500 0.000
-1.502 0.000 4.209
Mg Ni Hg
1 2 1
Cartesian
0.000 0.000 0.000 Mg
1.120 0.000 3.400 Ni
4.294 0.000 2.215 Ni
6.943 0.000 1.405 Hg

***

PBE MgNiHg2, optimized geometry; E = -0.0730 Ha/atom; V = 18.5 Å³ per atom; mass density = 10.851 g cm⁻³; E_form = 0.01 eV per atom
1.0
3.304 0.000 0.000
0.000 3.304 0.000
0.000 0.000 6.786
Mg Ni Hg
1 1 2
Cartesian
0.000 0.000 0.000 Mg
1.652 1.652 1.339 Ni
0.000 0.000 2.834 Hg
1.652 1.652 4.980 Hg

***

PBE MgNiHg2, optimized geometry; E = -0.0734 Ha/atom; V = 19.7 Å³ per atom; mass density = 10.203 g cm⁻³; E_form = 0.00 eV per atom
1.0
-1.572 2.167 5.781
1.572 -2.167 5.781
1.572 2.167 -5.781
Mg Ni Hg
1 1 2
Cartesian
0.000 0.000 0.000 Mg
0.000 2.167 3.619 Ni
1.572 0.000 3.673 Hg
0.000 0.000 7.128 Hg

***

PBE Mg4NiHg, optimized geometry; E = -0.0832 Ha/atom; V = 20.0 Å³ per atom; mass density = 4.940 g cm⁻³; E_form = -0.19 eV per atom; excess energy over the best structure of this formula in the dataset = 0 meV/atom
1.0
3.960 -6.119 0.000
3.960 6.119 0.000
-1.802 0.000 4.946
Mg Ni Hg
8 2 2
Cartesian
1.406 4.010 4.654 Mg
1.082 0.953 3.203 Mg
3.810 4.010 2.765 Mg
1.983 -0.953 0.730 Mg
4.134 0.953 4.216 Mg
2.307 -4.010 2.181 Mg
5.035 -0.953 1.743 Mg
4.711 -4.010 0.292 Mg
2.608 6.093 3.709 Ni
3.509 -6.093 1.236 Ni
3.509 1.557 1.236 Hg
2.608 -1.557 3.709 Hg